[1]
# PBE Ac4CoPdCl2, relaxed
data_Ac4CoPdCl2
_chemical_formula_sum 'Ac4 Co1 Pd1 Cl2'
_space_group_name_H-M_alt 'P 1 2/m 1'
_space_group_IT_number 10
_space_group_name_Hall '-P 2y'
_cell_length_a 7.558
_cell_length_b 4.292
_cell_length_c 8.358
_cell_angle_alpha 90.00
_cell_angle_beta 107.84
_cell_angle_gamma 90.00
loop_
_atom_site_label
_atom_site_type_symbol
_atom_site_fract_x
_atom_site_fract_y
_atom_site_fract_z
Ac1 Ac 0.222 0.000 0.200
Ac2 Ac 0.250 0.500 0.797
Co1 Co 0.000 0.500 0.000
Pd1 Pd 0.500 0.000 0.000
Cl1 Cl 0.000 0.000 0.500
Cl2 Cl 0.500 0.500 0.500
# - ΔE_f (raw): -1026.6 meV/atom



[2]
# PBE CaCrTc2, relaxed
data_CaCrTc2
_chemical_formula_sum 'Ca4 Cr4 Tc8'
_space_group_name_H-M_alt 'C 1 m 1'
_space_group_IT_number 8
_space_group_name_Hall 'C -2y'
_cell_length_a 10.368
_cell_length_b 4.425
_cell_length_c 6.223
_cell_angle_alpha 90.00
_cell_angle_beta 95.15
_cell_angle_gamma 90.00
loop_
_atom_site_label
_atom_site_type_symbol
_atom_site_fract_x
_atom_site_fract_y
_atom_site_fract_z
Ca1 Ca 0.000 0.000 0.000
Ca2 Ca 0.169 0.500 0.776
Cr1 Cr 0.435 0.500 0.532
Cr2 Cr 0.493 0.000 0.339
Tc1 Tc 0.148 0.000 0.416
Tc2 Tc 0.260 0.500 0.285
Tc3 Tc 0.325 0.000 0.081
Tc4 Tc 0.349 0.000 0.652
# - Distance to the lowest polymorph of the same formula: 92 meV per atom
# - ΔE_f: 0.31 eV/atom



[3]
# PBE BaCo2Te, relaxed
data_BaCo2Te
_chemical_formula_sum 'Ba4 Co8 Te4'
_space_group_name_H-M_alt 'F m m m'
_space_group_IT_number 69
_space_group_name_Hall '-F 2 2'
_cell_length_a 6.622
_cell_length_b 6.822
_cell_length_c 8.475
_cell_angle_alpha 90.00
_cell_angle_beta 90.00
_cell_angle_gamma 90.00
loop_
_atom_site_label
_atom_site_type_symbol
_atom_site_fract_x
_atom_site_fract_y
_atom_site_fract_z
Ba1 Ba 0.000 0.000 0.000
Co1 Co 0.000 0.250 0.250
Te1 Te 0.000 0.000 0.500
# - ΔE_f (raw): 594.0 meV/atom